[1]
# Hf2TlO

Hf2TlO after structural relaxation (GGA-PBE, the Alexandria database).

Cell: 5.6949 5.6949 6.7878 Å, 65.20 65.20 90.00°
Last column: nearest neighbours and their distance in Å.
Fractional coordinates of all 8 atoms:
O1 0.2500 0.7500 0.5000  4 Hf 2.08
O2 0.5000 0.5000 0.0000  4 Hf 2.08
Hf1 0.3750 0.5083 0.7500  2 O 2.08
Hf2 0.4917 0.1250 0.2500  2 O 2.08
Hf3 0.2583 0.6250 0.2500  2 O 2.08
Hf4 0.8750 0.7417 0.7500  2 O 2.08
Tl1 0.0000 0.0000 0.0000  4 Hf 2.94
Tl2 0.7500 0.2500 0.5000  4 Hf 2.94

size of the total moment = 0.0 μB per formula unit
ΔE_f (raw) = -0.7988 eV per atom
theoretical density = 10820 kg/m3
energy relative to the lowest polymorph listed for this composition = 0.264 eV/atom


[2]
# HfTlO2

HfTlO2 after structural relaxation (GGA-PBE, the Alexandria database).

Cell: 9.6855 9.6855 9.6855 Å, 19.41 19.41 19.41°
Last column: nearest neighbours and their distance in Å.
Fractional coordinates of all 4 atoms:
Hf1 0.5000 0.5000 0.5000  6 O 2.11
Tl1 0.0000 0.0000 0.0000  6 Tl 3.27
O1 0.1332 0.1332 0.1332  3 Hf 2.11
O2 0.8668 0.8668 0.8668  3 Hf 2.11

size of the total moment = 0.2 μB per formula unit
ΔE_f (raw) = -2.3779 eV per atom
theoretical density = 7854 kg/m3
energy relative to the lowest polymorph listed for this composition = 0.000 eV/atom


[3]
# Hf2TlO

Hf2TlO after structural relaxation (GGA-PBE, the Alexandria database).

Cell: 3.2618 3.2618 7.7994 Å, 78.17 78.17 60.07°
Last column: nearest neighbours and their distance in Å.
Fractional coordinates of all 4 atoms:
O1 0.6668 0.6668 0.0004  6 Hf 2.28-2.31
Hf1 0.0591 0.0591 0.8275  3 O 2.29-2.30
Hf2 0.2735 0.2735 0.1718  3 O 2.28-2.31
Tl1 0.5007 0.5007 0.5003  6 Hf 3.11-3.13, 6 Tl 3.26-3.27

size of the total moment = 0.0 μB per formula unit
ΔE_f (raw) = -1.0630 eV per atom
theoretical density = 13721 kg/m3
energy relative to the lowest polymorph listed for this composition = 0.000 eV/atom


Number 1: D(E_F) 0.976 states/eV/atom. Number 2: D(E_F) 0.517 states/eV/atom. Number 3: D(E_F) 0.648 states/eV/atom.